#i
GGA-PBE NdZn2Ni9, optimized geometry; space group = P6/mmm, No. 191
1.0
8.133 0.000 0.000
-4.066 7.043 0.000
0.000 0.000 2.687
Nd Zn Ni
1 2 9
Direct
0.000 0.000 0.000
0.333 0.667 0.000
0.667 0.333 0.000
0.000 0.500 0.000
0.185 0.370 0.500
0.185 0.815 0.500
0.370 0.185 0.500
0.500 0.000 0.000
0.500 0.500 0.000
0.630 0.815 0.500
0.815 0.185 0.500
0.815 0.630 0.500

#ii
GGA-PBE NdZn2Ni9, optimized geometry; space group = P4/mbm, No. 127
1.0
8.103 0.000 0.000
0.000 8.103 0.000
0.000 0.000 4.769
Nd Zn Ni
2 4 18
Direct
0.000 0.000 0.000
0.500 0.500 0.000
0.117 0.383 0.000
0.383 0.883 0.000
0.617 0.117 0.000
0.883 0.617 0.000
0.000 0.500 0.500
0.065 0.212 0.500
0.178 0.678 0.243
0.178 0.678 0.757
0.212 0.935 0.500
0.288 0.435 0.500
0.322 0.178 0.243
0.322 0.178 0.757
0.435 0.712 0.500
0.500 0.000 0.500
0.565 0.288 0.500
0.678 0.822 0.243
0.678 0.822 0.757
0.712 0.565 0.500
0.788 0.065 0.500
0.822 0.322 0.243
0.822 0.322 0.757
0.935 0.788 0.500

Energy above the most stable structure, in meV/atom: #i 243; #ii 0

#i
GGA-PBE Nd4ZnNi, optimized geometry; space group = P2_1/c, No. 14
1.0
7.071 0.000 0.000
0.000 7.250 0.000
-0.670 0.000 7.046
Nd Zn Ni
8 2 2
Direct
0.156 0.164 0.187
0.156 0.336 0.687
0.327 0.652 0.123
0.327 0.848 0.623
0.673 0.152 0.377
0.673 0.348 0.877
0.844 0.664 0.313
0.844 0.836 0.813
0.500 0.000 0.000
0.500 0.500 0.500
0.000 0.000 0.500
0.000 0.500 0.000

#ii
GGA-PBE Nd4ZnNi, optimized geometry; space group = F-43m, No. 216
1.0
0.000 6.875 6.875
6.875 0.000 6.875
6.875 6.875 0.000
Nd Zn Ni
16 4 4
Direct
0.187 0.187 0.813
0.187 0.813 0.187
0.187 0.813 0.813
0.399 0.399 0.399
0.399 0.399 0.803
0.399 0.803 0.399
0.556 0.556 0.944
0.556 0.944 0.556
0.556 0.944 0.944
0.803 0.399 0.399
0.813 0.187 0.187
0.813 0.187 0.813
0.813 0.813 0.187
0.944 0.556 0.556
0.944 0.556 0.944
0.944 0.944 0.556
0.172 0.172 0.172
0.172 0.172 0.484
0.172 0.484 0.172
0.484 0.172 0.172
0.179 0.607 0.607
0.607 0.179 0.607
0.607 0.607 0.179
0.607 0.607 0.607

Energy above the most stable structure, in meV/atom: #i 138; #ii 0

#i
GGA-PBE Nd8ZnNi2, optimized geometry; space group = C2/m, No. 12
1.0
9.171 -2.619 0.000
9.171 2.619 0.000
-2.301 0.000 6.465
Nd Zn Ni
8 1 2
Direct
0.033 0.033 0.287
0.197 0.197 0.846
0.321 0.321 0.492
0.406 0.406 0.022
0.594 0.594 0.978
0.679 0.679 0.508
0.803 0.803 0.154
0.967 0.967 0.713
0.500 0.500 0.500
0.171 0.171 0.229
0.829 0.829 0.771

#ii
GGA-PBE Nd8ZnNi2, optimized geometry; space group = Cm, No. 8
1.0
4.298 -6.845 0.000
4.298 6.845 0.000
-1.550 0.000 5.430
Nd Zn Ni
8 1 2
Direct
0.000 0.000 0.000
0.049 0.302 0.613
0.145 0.624 0.187
0.302 0.049 0.613
0.469 0.721 0.759
0.624 0.145 0.187
0.721 0.469 0.759
0.771 0.771 0.373
0.386 0.386 0.183
0.090 0.683 0.688
0.683 0.090 0.688

Energy above the most stable structure, in meV/atom: #i 0; #ii 100

#i
GGA-PBE Nd2Zn3Ni2, optimized geometry; space group = C2/m, No. 12
1.0
4.940 -2.044 0.000
4.940 2.044 0.000
-3.019 0.000 6.480
Nd Zn Ni
2 3 2
Direct
0.141 0.141 0.267
0.859 0.859 0.733
0.358 0.358 0.062
0.500 0.500 0.500
0.642 0.642 0.938
0.131 0.131 0.695
0.869 0.869 0.305

#ii
GGA-PBE Nd2Zn3Ni2, optimized geometry; space group = C2/m, No. 12
1.0
4.901 -2.197 0.000
4.901 2.197 0.000
-1.862 0.000 6.101
Nd Zn Ni
2 3 2
Direct
0.117 0.117 0.350
0.883 0.883 0.650
0.215 0.215 0.882
0.500 0.500 0.000
0.785 0.785 0.118
0.404 0.404 0.315
0.596 0.596 0.685

Energy above the most stable structure, in meV/atom: #i 0; #ii 62